one | KInHgAu: relaxed, GGA-PBE.

As for the space-group type: R3m.

```
4
Lattice="2.422 1.398 6.120 -2.422 1.398 6.120 0.000 -2.797 6.120" Properties=species:S:1:pos:R:3 pbc="T T T"
K 0.000 0.000 0.000
In 0.000 0.000 14.640
Hg 0.000 0.000 3.771
Au 0.000 0.000 8.773
```


two | KInHgAu: relaxed, GGA-PBE.

As for the space-group type: F-43m.

```
4
Lattice="0.000 3.796 3.796 3.796 0.000 3.796 3.796 3.796 0.000" Properties=species:S:1:pos:R:3 pbc="T T T"
K 0.000 0.000 0.000
In 3.796 3.796 3.796
Hg 5.694 5.694 5.694
Au 1.898 1.898 1.898
```


The structure with the least stability is two.


one | TlInHgAu: relaxed, GGA-PBE.

As for the space-group type: P1.

```
4
Lattice="3.690 0.000 0.000 1.678 3.324 0.000 0.041 0.186 8.629" Properties=species:S:1:pos:R:3 pbc="T T T"
Tl 0.000 0.000 0.000
In 1.700 3.371 3.938
Hg 3.531 2.261 6.213
Au 1.871 1.196 2.099
```


two | TlInHgAu: relaxed, GGA-PBE.

As for the space-group type: F-43m.

```
4
Lattice="0.000 3.685 3.685 3.685 0.000 3.685 3.685 3.685 0.000" Properties=species:S:1:pos:R:3 pbc="T T T"
Tl 0.000 0.000 0.000
In 3.685 3.685 3.685
Hg 1.843 1.843 1.843
Au 5.528 5.528 5.528
```


The structure with the least stability is two.


one | Hg2IrAu: relaxed, GGA-PBE.

As for the space-group type: R-3m.

```
4
Lattice="1.516 0.875 9.408 -1.516 0.875 9.408 0.000 -1.751 9.408" Properties=species:S:1:pos:R:3 pbc="T T T"
Hg 0.000 0.000 6.967
Hg 0.000 0.000 21.258
Ir 0.000 0.000 14.113
Au 0.000 0.000 0.000
```


two | Hg2IrAu: relaxed, GGA-PBE.

As for the space-group type: I-42d.

```
8
Lattice="-2.046 2.046 9.769 2.046 -2.046 9.769 2.046 2.046 -9.769" Properties=species:S:1:pos:R:3 pbc="T T T"
Hg 3.069 0.983 -2.442
Hg 0.983 1.023 2.442
Hg -1.023 1.063 7.327
Hg 1.063 1.023 12.211
Ir 0.000 0.000 0.000
Ir 0.000 2.046 4.885
Au 2.046 0.000 4.885
Au 0.000 0.000 9.769
```


three | Hg2IrAu: relaxed, GGA-PBE.

As for the space-group type: Pmm2.

```
4
Lattice="3.038 0.000 0.000 0.000 4.219 0.000 0.000 0.000 5.888" Properties=species:S:1:pos:R:3 pbc="T T T"
Hg 0.000 0.000 0.000
Hg 1.519 2.109 1.729
Ir 0.000 0.000 2.977
Au 1.519 2.109 4.497
```


four | Hg2IrAu: relaxed, GGA-PBE.

As for the space-group type: I4/mmm.

```
4
Lattice="-2.144 2.144 4.041 2.144 -2.144 4.041 2.144 2.144 -4.041" Properties=species:S:1:pos:R:3 pbc="T T T"
Hg 2.144 0.000 2.020
Hg 0.000 2.144 2.020
Ir 0.000 0.000 0.000
Au 0.000 0.000 4.041
```


The structure with the least stability is two.


one | Hg2IrAu: relaxed, GGA-PBE.

As for the space-group type: Imm2.

```
4
Lattice="-1.478 2.312 6.156 1.478 -2.312 6.156 1.478 2.312 -6.156" Properties=species:S:1:pos:R:3 pbc="T T T"
Hg 0.000 0.000 0.000
Hg 0.000 2.312 2.496
Ir 0.000 0.000 6.225
Au 1.478 0.000 3.865
```


two | Hg2IrAu: relaxed, GGA-PBE.

As for the space-group type: Pm.

```
4
Lattice="3.123 0.000 0.000 0.000 4.552 0.000 -1.425 0.000 5.418" Properties=species:S:1:pos:R:3 pbc="T T T"
Hg 0.000 0.000 0.000
Hg 0.030 2.276 3.390
Ir 1.560 2.276 0.780
Au 1.577 0.000 2.486
```


three | Hg2IrAu: relaxed, GGA-PBE.

As for the space-group type: C2/m.

```
4
Lattice="4.675 -1.566 0.000 4.675 1.566 0.000 -1.077 0.000 5.155" Properties=species:S:1:pos:R:3 pbc="T T T"
Hg 2.031 0.000 1.245
Hg 6.243 0.000 3.910
Ir 4.675 0.000 0.000
Au -0.538 0.000 2.577
```


The structure with the least stability is three.


one | Hg2IrAu: relaxed, GGA-PBE.

As for the space-group type: P4mm.

```
4
Lattice="3.020 0.000 0.000 0.000 3.020 0.000 0.000 0.000 8.476" Properties=species:S:1:pos:R:3 pbc="T T T"
Hg 0.000 0.000 0.000
Hg 1.510 1.510 2.520
Ir 0.000 0.000 4.445
Au 1.510 1.510 6.291
```


two | Hg2IrAu: relaxed, GGA-PBE.

As for the space-group type: Cmm2.

```
4
Lattice="1.445 -2.610 0.000 1.445 2.610 0.000 0.000 0.000 10.289" Properties=species:S:1:pos:R:3 pbc="T T T"
Hg 0.000 0.000 0.000
Hg 1.445 0.000 2.895
Ir 0.000 0.000 5.318
Au 1.445 0.000 7.660
```


The structure with the least stability is two.


one | Hg2IrAu: relaxed, GGA-PBE.

As for the space-group type: P4/mmm.

```
4
Lattice="3.036 0.000 0.000 0.000 3.036 0.000 0.000 0.000 8.131" Properties=species:S:1:pos:R:3 pbc="T T T"
Hg 0.000 0.000 1.905
Hg 0.000 0.000 6.226
Ir 1.518 1.518 0.000
Au 1.518 1.518 4.066
```


two | Hg2IrAu: relaxed, GGA-PBE.

As for the space-group type: P2/m.

```
4
Lattice="3.068 0.000 0.000 0.000 4.017 0.000 -0.106 0.000 6.048" Properties=species:S:1:pos:R:3 pbc="T T T"
Hg -0.025 0.000 1.445
Hg 2.987 0.000 4.603
Ir 1.534 2.009 0.000
Au 1.481 2.009 3.024
```


three | Hg2IrAu: relaxed, GGA-PBE.

As for the space-group type: Cmmm.

```
4
Lattice="2.982 -3.950 0.000 2.982 3.950 0.000 0.000 0.000 3.157" Properties=species:S:1:pos:R:3 pbc="T T T"
Hg 1.491 1.975 0.000
Hg 1.491 -1.975 0.000
Ir 0.000 0.000 1.578
Au 2.982 0.000 1.578
```


four | Hg2IrAu: relaxed, GGA-PBE.

As for the space-group type: F-43m.

```
4
Lattice="0.000 3.346 3.346 3.346 0.000 3.346 3.346 3.346 0.000" Properties=species:S:1:pos:R:3 pbc="T T T"
Hg 0.000 0.000 0.000
Hg 1.673 1.673 1.673
Ir 3.346 3.346 3.346
Au 5.019 5.019 5.019
```


The structure with the least stability is four.


one | Hg2IrAu: relaxed, GGA-PBE.

As for the space-group type: Cmmm.

```
4
Lattice="1.502 -2.574 0.000 1.502 2.574 0.000 0.000 0.000 9.783" Properties=species:S:1:pos:R:3 pbc="T T T"
Hg 0.000 0.000 2.355
Hg 0.000 0.000 7.428
Ir 1.502 0.000 0.000
Au 1.502 0.000 4.892
```


two | Hg2IrAu: relaxed, GGA-PBE.

As for the space-group type: Fm-3m.

```
4
Lattice="0.000 3.343 3.343 3.343 0.000 3.343 3.343 3.343 0.000" Properties=species:S:1:pos:R:3 pbc="T T T"
Hg 1.672 1.672 1.672
Hg 5.015 5.015 5.015
Ir 0.000 0.000 0.000
Au 3.343 3.343 3.343
```


The structure with the least stability is two.


one | HgIr2Au2: relaxed, GGA-PBE.

As for the space-group type: P4/mbm.

```
10
Lattice="6.994 0.000 0.000 0.000 6.994 0.000 0.000 0.000 3.755" Properties=species:S:1:pos:R:3 pbc="T T T"
Hg 0.000 0.000 0.000
Hg 3.497 3.497 0.000
Ir 0.893 2.603 0.000
Ir 2.603 6.100 0.000
Ir 4.390 0.893 0.000
Ir 6.100 4.390 0.000
Au 1.192 4.689 1.878
Au 2.304 1.192 1.878
Au 4.689 5.801 1.878
Au 5.801 2.304 1.878
```


two | HgIr2Au2: relaxed, GGA-PBE.

As for the space-group type: I4/mmm.

```
5
Lattice="-1.958 1.958 6.253 1.958 -1.958 6.253 1.958 1.958 -6.253" Properties=species:S:1:pos:R:3 pbc="T T T"
Hg 0.000 0.000 0.000
Ir 0.000 0.000 5.047
Ir 0.000 0.000 7.459
Au 1.958 0.000 3.126
Au 0.000 1.958 3.126
```


The structure with the least stability is two.


one | K4HgAu: relaxed, GGA-PBE.

As for the space-group type: C2/c.

```
12
Lattice="5.337 -7.856 0.000 5.337 7.856 0.000 -3.696 0.000 6.410" Properties=species:S:1:pos:R:3 pbc="T T T"
K 0.721 5.144 5.855
K 0.514 1.030 4.521
K 4.409 5.144 3.760
K 2.362 -1.030 1.316
K 4.616 1.030 5.094
K 2.569 -5.144 2.650
K 6.464 -1.030 1.889
K 6.257 -5.144 0.555
Hg 4.413 2.164 1.602
Hg 2.565 -2.164 4.807
Au 4.413 7.852 1.602
Au 2.565 -7.852 4.807
```


two | K4HgAu: relaxed, GGA-PBE.

As for the space-group type: P4/mmm.

```
6
Lattice="5.779 0.000 0.000 0.000 5.779 0.000 0.000 0.000 8.292" Properties=species:S:1:pos:R:3 pbc="T T T"
K 0.000 2.890 1.960
K 0.000 2.890 6.332
K 2.890 0.000 1.960
K 2.890 0.000 6.332
Hg 0.000 0.000 4.146
Au 2.890 2.890 0.000
```


three | K4HgAu: relaxed, GGA-PBE.

As for the space-group type: F-43m.

```
6
Lattice="0.000 5.291 5.291 5.291 0.000 5.291 5.291 5.291 0.000" Properties=species:S:1:pos:R:3 pbc="T T T"
K 1.314 1.314 1.314
K 3.977 3.977 1.314
K 3.977 1.314 3.977
K 1.314 3.977 3.977
Hg 5.291 5.291 5.291
Au 7.936 7.936 7.936
```


The structure with the least stability is three.


one | KHg3Au: relaxed, GGA-PBE.

As for the space-group type: Pm-3m.

```
5
Lattice="6.357 0.000 0.000 0.000 6.357 0.000 0.000 0.000 6.357" Properties=species:S:1:pos:R:3 pbc="T T T"
K 0.000 0.000 0.000
Hg 0.000 0.000 3.178
Hg 0.000 3.178 0.000
Hg 3.178 0.000 0.000
Au 3.178 3.178 3.178
```


two | KHg3Au: relaxed, GGA-PBE.

As for the space-group type: P6_3/mmc.

```
10
Lattice="7.369 0.000 0.000 -3.685 6.382 0.000 0.000 0.000 6.192" Properties=species:S:1:pos:R:3 pbc="T T T"
K 0.000 4.255 1.548
K 3.685 2.127 4.644
Hg 0.000 2.466 4.644
Hg -1.549 5.149 4.644
Hg 2.136 1.233 1.548
Hg 1.549 5.149 4.644
Hg 5.234 1.233 1.548
Hg 3.685 3.916 1.548
Au 0.000 0.000 0.000
Au 0.000 0.000 3.096
```


The structure with the least stability is one.


one | KHg3Au: relaxed, GGA-PBE.

As for the space-group type: Pm-3m.

```
5
Lattice="5.491 0.000 0.000 0.000 5.491 0.000 0.000 0.000 5.491" Properties=species:S:1:pos:R:3 pbc="T T T"
K 0.000 0.000 0.000
Hg 0.000 2.746 2.746
Hg 2.746 0.000 2.746
Hg 2.746 2.746 0.000
Au 2.746 2.746 2.746
```


two | KHg3Au: relaxed, GGA-PBE.

As for the space-group type: Cmcm.

```
10
Lattice="3.422 -6.361 0.000 3.422 6.361 0.000 0.000 0.000 6.748" Properties=species:S:1:pos:R:3 pbc="T T T"
K 3.422 3.261 5.061
K 3.422 -3.261 1.687
Hg 3.422 4.575 1.687
Hg 1.818 0.000 0.000
Hg 1.818 0.000 3.374
Hg 5.026 0.000 0.000
Hg 5.026 0.000 3.374
Hg 3.422 -4.575 5.061
Au 3.422 1.793 1.687
Au 3.422 -1.793 5.061
```


The structure with the least stability is one.